An optimized crystal structure of Na2V2SbO6, computed with PBE+U.

a = 5.526 Å, b = 9.109 Å, c = 5.863 Å
α = 90.00°, β = 108.51°, γ = 90.00°
Space group C2/m (No. 12)
Inequivalent atoms, fractional coordinates:
Na 0.000 0.179 0.000 [4 per cell]
V 0.000 0.343 0.500 [4 per cell]
Sb 0.000 0.000 0.500 [2 per cell]
O 0.220 0.165 0.691 [8 per cell]
O 0.241 0.000 0.299 [4 per cell]

Summary:
crystal system = monoclinic
DFT total energy = -6.4552 eV per atom